# SbIrF3

A relaxed structure of SbIrF3 (GGA-PBE, Alexandria via LeMat-Bulk).

- energy relative to the lowest polymorph listed for this composition (meV/atom) = 7
- energy relative to the elements, uncorrected (eV/atom) = -0.3550
- calculated density (g cm⁻³) = 6.76
- total energy (eV per atom) = -4.074

Geometry as CIF:
```
data_SbIrF3
_symmetry_space_group_name_H-M 'P m -3 m'
_symmetry_Int_Tables_number 221
_symmetry_space_group_name_Hall '-P 4 2 3'
_cell_length_a 4.500
_cell_length_b 4.500
_cell_length_c 4.500
_cell_angle_alpha 90.00
_cell_angle_beta 90.00
_cell_angle_gamma 90.00
loop_
_atom_site_label
_atom_site_type_symbol
_atom_site_fract_x
_atom_site_fract_y
_atom_site_fract_z
_atom_site_occupancy
Sb1 Sb 0.000 0.000 0.000 1
Ir1 Ir 0.500 0.500 0.500 1
F1 F 0.000 0.000 0.500 1
```


# NbVW3

A relaxed structure of NbVW3 (GGA-PBE, Alexandria via LeMat-Bulk).

- energy relative to the lowest polymorph listed for this composition (meV/atom) = 1158
- calculated density (g cm⁻³) = 12.50
- ΔH_f (0 K) (eV per atom) = 1.43
- total energy (eV per atom) = -10.176

Geometry as CIF:
```
data_NbVW3
_symmetry_space_group_name_H-M 'P m -3 m'
_symmetry_Int_Tables_number 221
_symmetry_space_group_name_Hall '-P 4 2 3'
_cell_length_a 4.521
_cell_length_b 4.521
_cell_length_c 4.521
_cell_angle_alpha 90.00
_cell_angle_beta 90.00
_cell_angle_gamma 90.00
loop_
_atom_site_label
_atom_site_type_symbol
_atom_site_fract_x
_atom_site_fract_y
_atom_site_fract_z
_atom_site_occupancy
Nb1 Nb 0.000 0.000 0.000 1
V1 V 0.500 0.500 0.500 1
W1 W 0.000 0.500 0.500 1
```


# Th4Ga12Ag

A relaxed structure of Th4Ga12Ag (GGA-PBE, Alexandria via LeMat-Bulk).

- calculated density (g cm⁻³) = 8.80
- ΔH_f (0 K) (eV per atom) = -0.49
- total energy (eV per atom) = -4.536

Geometry as CIF:
```
data_Th4Ga12Ag
_symmetry_space_group_name_H-M 'I m -3 m'
_symmetry_Int_Tables_number 229
_symmetry_space_group_name_Hall '-I 4 2 3'
_cell_length_a 8.909
_cell_length_b 8.909
_cell_length_c 8.909
_cell_angle_alpha 90.00
_cell_angle_beta 90.00
_cell_angle_gamma 90.00
loop_
_atom_site_label
_atom_site_type_symbol
_atom_site_fract_x
_atom_site_fract_y
_atom_site_fract_z
_atom_site_occupancy
Th1 Th 0.250 0.250 0.250 1
Ga1 Ga 0.000 0.000 0.310 1
Ga2 Ga 0.000 0.250 0.500 1
Ag1 Ag 0.000 0.000 0.000 1
```


# BaCaIr2

A relaxed structure of BaCaIr2 (GGA-PBE, Alexandria via LeMat-Bulk).

- energy relative to the lowest polymorph listed for this composition (meV/atom) = 567
- calculated density (g cm⁻³) = 9.93
- ΔH_f (0 K) (eV per atom) = 0.31
- total energy (eV per atom) = -5.103

Geometry as CIF:
```
data_BaCaIr2
_symmetry_space_group_name_H-M 'F m -3 m'
_symmetry_Int_Tables_number 225
_symmetry_space_group_name_Hall '-F 4 2 3'
_cell_length_a 7.216
_cell_length_b 7.216
_cell_length_c 7.216
_cell_angle_alpha 90.00
_cell_angle_beta 90.00
_cell_angle_gamma 90.00
loop_
_atom_site_label
_atom_site_type_symbol
_atom_site_fract_x
_atom_site_fract_y
_atom_site_fract_z
_atom_site_occupancy
Ba1 Ba 0.000 0.000 0.000 1
Ca1 Ca 0.000 0.000 0.500 1
Ir1 Ir 0.250 0.250 0.250 1
```